DFT (PBE) results for crystalline Mn3CSe at its relaxed geometry.

Space-group type: Pm-3m, No. 221
Size of the total moment, μB per formula unit: 8.86
E above lowest polymorph, kJ/mol of formula units: 0

Cell lengths 3.994, 3.994, 3.994 Å; angles 90.00, 90.00, 90.00 degrees
Fractional coordinates of all 5 atoms:
Mn: 0.000 0.000 0.500
Mn: 0.000 0.500 0.000
Mn: 0.500 0.000 0.000
C: 0.000 0.000 0.000
Se: 0.500 0.500 0.500